Density functional theory data (GGA-PBE) for a relaxed structure of Pm2Ga9Ru6.

Structure (POSCAR):
```
Pm2Ga9Ru6
1.0
5.4937 0.0000 0.0000
-2.7468 4.7577 0.0000
0.0000 0.0000 12.0929
Pm Ga Ru
2 9 6
direct
0.0000 0.0000 0.1663
0.0000 0.0000 0.8337
0.0000 0.5000 0.0000
0.0000 0.5000 0.3373
0.0000 0.5000 0.6627
0.5000 0.0000 0.0000
0.5000 0.0000 0.3373
0.5000 0.0000 0.6627
0.5000 0.5000 0.0000
0.5000 0.5000 0.3373
0.5000 0.5000 0.6627
0.3333 0.6667 0.1712
0.3333 0.6667 0.5000
0.3333 0.6667 0.8288
0.6667 0.3333 0.1712
0.6667 0.3333 0.5000
0.6667 0.3333 0.8288
```

V, Å³/atom: 18.6
Energy of formation from the pure elements, eV per atom: -0.27
Total DFT energy (no corrections), eV per atom: -5.708


Density functional theory data (GGA-PBE) for a relaxed structure of Tc2Ir4Rh3.

Structure (POSCAR):
```
Tc2Ir4Rh3
1.0
5.7785 -1.9321 0.0000
5.7785 1.9321 0.0000
-1.9356 0.0000 5.7995
Tc Ir Rh
2 4 3
direct
0.1715 0.1715 0.0031
0.8285 0.8285 0.9969
0.0562 0.0562 0.3287
0.2802 0.2802 0.6765
0.7198 0.7198 0.3235
0.9438 0.9438 0.6713
0.3880 0.3880 0.3326
0.5000 0.5000 0.0000
0.6120 0.6120 0.6674
```

V, Å³/atom: 14.4
Energy of formation from the pure elements, eV per atom: -0.10
Total DFT energy (no corrections), eV per atom: -8.795